1.
Ti5Ga5Mo: optimized geometry, PBE.

Summary:
The density of states at the Fermi level is 9.686 states/eV/f.u. The calculation puts the total energy at -6.03 eV/atom. Its calculated volume is 373 Å³/cell. The value obtained for the total magnetization is 0.000 μB/atom.

The structure in CIF format:
```
data_Ti5Ga5Mo
_chemical_formula_sum 'Ti10 Ga10 Mo2'
_space_group_name_H-M_alt 'C 1 2/m 1'
_space_group_IT_number 12
_cell_length_a 14.552
_cell_length_b 4.876
_cell_length_c 5.403
_cell_angle_alpha 90.00
_cell_angle_beta 103.33
_cell_angle_gamma 90.00
loop_
_space_group_symop_operation_xyz
'x,y,z'
'-x,-y,-z'
'-x,y,-z'
'x,-y,z'
'x+1/2,y+1/2,z'
'-x+1/2,-y+1/2,-z'
'-x+1/2,y+1/2,-z'
'x+1/2,-y+1/2,z'
loop_
_atom_site_label
_atom_site_type_symbol
_atom_site_fract_x
_atom_site_fract_y
_atom_site_fract_z
Ti1 Ti 0.000 0.000 0.000
Ti2 Ti 0.142 0.500 0.213
Ti3 Ti 0.170 0.500 0.735
Ga1 Ga 0.000 0.500 0.500
Ga2 Ga 0.168 0.000 0.928
Ga3 Ga 0.173 0.000 0.447
Mo1 Mo 0.000 0.000 0.500
```

***

2.
KCd11Pt: optimized geometry, PBE.

Summary:
The density of states at the Fermi level is 5.170 states/eV/f.u. The calculation puts the total energy at -1.42 eV/atom. Its calculated volume is 605 Å³/cell. The value obtained for the total magnetization is 0.000 μB/atom.

The structure in CIF format:
```
data_KCd11Pt
_chemical_formula_sum 'K2 Cd22 Pt2'
_space_group_name_H-M_alt 'C 1 2/m 1'
_space_group_IT_number 12
_cell_length_a 5.670
_cell_length_b 14.500
_cell_length_c 7.797
_cell_angle_alpha 90.00
_cell_angle_beta 109.30
_cell_angle_gamma 90.00
loop_
_space_group_symop_operation_xyz
'x,y,z'
'-x,-y,-z'
'-x,y,-z'
'x,-y,z'
'x+1/2,y+1/2,z'
'-x+1/2,-y+1/2,-z'
'-x+1/2,y+1/2,-z'
'x+1/2,-y+1/2,z'
loop_
_atom_site_label
_atom_site_type_symbol
_atom_site_fract_x
_atom_site_fract_y
_atom_site_fract_z
K1 K 0.000 0.000 0.000
Cd1 Cd 0.000 0.000 0.500
Cd2 Cd 0.097 0.394 0.221
Cd3 Cd 0.187 0.172 0.362
Cd4 Cd 0.250 0.250 0.000
Pt1 Pt 0.000 0.500 0.500
```

***

3.
RbBeS2Br: optimized geometry, PBE.

Summary:
The density of states at the Fermi level is 3.647 states/eV/f.u. The calculation puts the total energy at -3.30 eV/atom. Its calculated volume is 190 Å³/cell. The value obtained for the total magnetization is 0.000 μB/atom. The formation energy without anion corrections is -372 meV/atom.

The structure in CIF format:
```
data_RbBeS2Br
_chemical_formula_sum 'Rb1 Be1 S2 Br1'
_space_group_name_H-M_alt 'P 4/m m m'
_space_group_IT_number 123
_space_group_name_Hall '-P 4 2'
_cell_length_a 4.317
_cell_length_b 4.317
_cell_length_c 10.192
_cell_angle_alpha 90.00
_cell_angle_beta 90.00
_cell_angle_gamma 90.00
loop_
_atom_site_label
_atom_site_type_symbol
_atom_site_fract_x
_atom_site_fract_y
_atom_site_fract_z
Rb1 Rb 0.000 0.000 0.000
Be1 Be 0.000 0.000 0.500
S1 S 0.000 0.500 0.500
Br1 Br 0.500 0.500 0.000
```

***

4.
ScGaMo2As: optimized geometry, PBE.

Summary:
The density of states at the Fermi level is 7.523 states/eV/f.u. The calculation puts the total energy at -6.13 eV/atom. Its calculated volume is 105 Å³/cell. The value obtained for the total magnetization is 0.000 μB/atom.

The structure in CIF format:
```
data_ScGaMo2As
_chemical_formula_sum 'Sc1 Ga1 Mo2 As1'
_space_group_name_H-M_alt 'P 4/m m m'
_space_group_IT_number 123
_space_group_name_Hall '-P 4 2'
_cell_length_a 4.638
_cell_length_b 4.638
_cell_length_c 4.877
_cell_angle_alpha 90.00
_cell_angle_beta 90.00
_cell_angle_gamma 90.00
loop_
_atom_site_label
_atom_site_type_symbol
_atom_site_fract_x
_atom_site_fract_y
_atom_site_fract_z
Sc1 Sc 0.000 0.000 0.000
Ga1 Ga 0.000 0.000 0.500
Mo1 Mo 0.000 0.500 0.500
As1 As 0.500 0.500 0.000
```

***

5.
La2CdHRh: optimized geometry, PBE.

Summary:
The density of states at the Fermi level is 3.666 states/eV/f.u. The calculation puts the total energy at -4.76 eV/atom. Its calculated volume is 109 Å³/cell. The value obtained for the total magnetization is 0.000 μB/atom.

The structure in CIF format:
```
data_La2CdHRh
_chemical_formula_sum 'La2 Cd1 H1 Rh1'
_space_group_name_H-M_alt 'P 4/m m m'
_space_group_IT_number 123
_space_group_name_Hall '-P 4 2'
_cell_length_a 5.405
_cell_length_b 5.405
_cell_length_c 3.725
_cell_angle_alpha 90.00
_cell_angle_beta 90.00
_cell_angle_gamma 90.00
loop_
_atom_site_label
_atom_site_type_symbol
_atom_site_fract_x
_atom_site_fract_y
_atom_site_fract_z
La1 La 0.000 0.500 0.000
Cd1 Cd 0.000 0.000 0.500
H1 H 0.500 0.500 0.000
Rh1 Rh 0.500 0.500 0.500
```

***

6.
Pm3ErSc4: optimized geometry, PBE.

Summary:
The density of states at the Fermi level is 15.048 states/eV/f.u. The calculation puts the total energy at -5.47 eV/atom. Its calculated volume is 463 Å³/cell. The value obtained for the total magnetization is 0.000 μB/atom.

The structure in CIF format:
```
data_Pm3ErSc4
_chemical_formula_sum 'Pm6 Er2 Sc8'
_space_group_name_H-M_alt 'P m n 21'
_space_group_IT_number 31
_cell_length_a 10.907
_cell_length_b 7.077
_cell_length_c 6.000
_cell_angle_alpha 90.00
_cell_angle_beta 90.00
_cell_angle_gamma 90.00
loop_
_space_group_symop_operation_xyz
'x,y,z'
'-x+1/2,-y,z+1/2'
'-x,y,z'
'x+1/2,-y,z+1/2'
loop_
_atom_site_label
_atom_site_type_symbol
_atom_site_fract_x
_atom_site_fract_y
_atom_site_fract_z
Pm1 Pm 0.000 0.137 0.000
Pm2 Pm 0.250 0.136 0.351
Er1 Er 0.000 0.861 0.498
Sc1 Sc 0.000 0.388 0.510
Sc2 Sc 0.000 0.611 0.010
Sc3 Sc 0.248 0.611 0.340
```

***

7.
K2Hg2H4Pd: optimized geometry, PBE.

Summary:
The calculation puts the total energy at -2.55 eV/atom. Its calculated volume is 362 Å³/cell. The value obtained for the total magnetization is 0.000 μB/atom.

The structure in CIF format:
```
data_K2Hg2H4Pd
_chemical_formula_sum 'K4 Hg4 H8 Pd2'
_space_group_name_H-M_alt 'I 4/m m m'
_space_group_IT_number 139
_space_group_name_Hall '-I 4 2'
_cell_length_a 6.537
_cell_length_b 6.537
_cell_length_c 8.479
_cell_angle_alpha 90.00
_cell_angle_beta 90.00
_cell_angle_gamma 90.00
loop_
_atom_site_label
_atom_site_type_symbol
_atom_site_fract_x
_atom_site_fract_y
_atom_site_fract_z
K1 K 0.000 0.500 0.250
Hg1 Hg 0.000 0.000 0.171
H1 H 0.181 0.181 0.500
Pd1 Pd 0.000 0.000 0.500
```

***

8.
BiPdCl2: optimized geometry, PBE.

Summary:
The density of states at the Fermi level is 4.689 states/eV/f.u. The calculation puts the total energy at -3.38 eV/atom. Its calculated volume is 300 Å³/cell. The value obtained for the total magnetization is 0.203 μB/atom. The formation energy without anion corrections is -192 meV/atom. The energy above the most stable polymorph in this dataset is 0.0013 eV per atom.

The structure in CIF format:
```
data_BiPdCl2
_chemical_formula_sum 'Bi3 Pd3 Cl6'
_space_group_name_H-M_alt 'R -3 m'
_space_group_IT_number 166
_space_group_name_Hall '-R 3 2"'
_cell_length_a 3.6521
_cell_length_b 3.6521
_cell_length_c 25.9898
_cell_angle_alpha 90.00
_cell_angle_beta 90.00
_cell_angle_gamma 120.00
loop_
_atom_site_label
_atom_site_type_symbol
_atom_site_fract_x
_atom_site_fract_y
_atom_site_fract_z
Bi1 Bi 0.0000 0.0000 0.0000
Pd1 Pd 0.0000 0.0000 0.5000
Cl1 Cl 0.0000 0.0000 0.1065
```

***

9.
BeIrSe: optimized geometry, PBE.

Summary:
The density of states at the Fermi level is 1.294 states/eV/f.u. The calculation puts the total energy at -5.21 eV/atom. Its calculated volume is 94 Å³/cell. The value obtained for the total magnetization is 0.000 μB/atom. The formation energy without anion corrections is 151 meV/atom. The energy above the most stable polymorph in this dataset is 0.0809 eV per atom.

The structure in CIF format:
```
data_BeIrSe
_chemical_formula_sum 'Be2 Ir2 Se2'
_space_group_name_H-M_alt 'I 4 m m'
_space_group_IT_number 107
_space_group_name_Hall 'I 4 -2'
_cell_length_a 2.858
_cell_length_b 2.858
_cell_length_c 11.479
_cell_angle_alpha 90.00
_cell_angle_beta 90.00
_cell_angle_gamma 90.00
loop_
_atom_site_label
_atom_site_type_symbol
_atom_site_fract_x
_atom_site_fract_y
_atom_site_fract_z
Be1 Be 0.000 0.000 0.000
Ir1 Ir 0.000 0.000 0.597
Se1 Se 0.000 0.000 0.267
```

***

10.
ScFeP2Cl: optimized geometry, PBE.

Summary:
The density of states at the Fermi level is 7.056 states/eV/f.u. The calculation puts the total energy at -5.10 eV/atom. Its calculated volume is 120 Å³/cell. The value obtained for the total magnetization is 0.770 μB/atom. The formation energy without anion corrections is 396 meV/atom. The energy above the most stable polymorph in this dataset is 0.5138 eV per atom.

The structure in CIF format:
```
data_ScFeP2Cl
_chemical_formula_sum 'Sc1 Fe1 P2 Cl1'
_space_group_name_H-M_alt 'P 4/m m m'
_space_group_IT_number 123
_space_group_name_Hall '-P 4 2'
_cell_length_a 4.995
_cell_length_b 4.995
_cell_length_c 4.797
_cell_angle_alpha 90.00
_cell_angle_beta 90.00
_cell_angle_gamma 90.00
loop_
_atom_site_label
_atom_site_type_symbol
_atom_site_fract_x
_atom_site_fract_y
_atom_site_fract_z
Sc1 Sc 0.000 0.000 0.000
Fe1 Fe 0.500 0.500 0.500
P1 P 0.000 0.500 0.000
Cl1 Cl 0.000 0.000 0.500
```

***

11.
SnH2W: optimized geometry, PBE.

Summary:
The density of states at the Fermi level is 0.210 states/eV/f.u. The calculation puts the total energy at -5.51 eV/atom. Its calculated volume is 186 Å³/cell. The value obtained for the total magnetization is 0.000 μB/atom. The energy above the most stable polymorph in this dataset is 0.0000 eV per atom.

The structure in CIF format:
```
data_SnH2W
_chemical_formula_sum 'Sn4 H8 W4'
_space_group_name_H-M_alt 'I -4 2 d'
_space_group_IT_number 122
_space_group_name_Hall 'I -4 2bw'
_cell_length_a 5.804
_cell_length_b 5.804
_cell_length_c 5.512
_cell_angle_alpha 90.00
_cell_angle_beta 90.00
_cell_angle_gamma 90.00
loop_
_atom_site_label
_atom_site_type_symbol
_atom_site_fract_x
_atom_site_fract_y
_atom_site_fract_z
Sn1 Sn 0.000 0.000 0.000
H1 H 0.155 0.250 0.625
W1 W 0.000 0.000 0.500
```

***

12.
Ba2CaZnN: optimized geometry, PBE.

Summary:
The density of states at the Fermi level is 4.372 states/eV/f.u. The calculation puts the total energy at -3.36 eV/atom. Its calculated volume is 158 Å³/cell. The value obtained for the total magnetization is 0.188 μB/atom. The formation energy without anion corrections is -271 meV/atom.

The structure in CIF format:
```
data_Ba2CaZnN
_chemical_formula_sum 'Ba2 Ca1 Zn1 N1'
_space_group_name_H-M_alt 'P 4/m m m'
_space_group_IT_number 123
_space_group_name_Hall '-P 4 2'
_cell_length_a 5.741
_cell_length_b 5.741
_cell_length_c 4.786
_cell_angle_alpha 90.00
_cell_angle_beta 90.00
_cell_angle_gamma 90.00
loop_
_atom_site_label
_atom_site_type_symbol
_atom_site_fract_x
_atom_site_fract_y
_atom_site_fract_z
Ba1 Ba 0.000 0.500 0.000
Ca1 Ca 0.000 0.000 0.500
Zn1 Zn 0.500 0.500 0.500
N1 N 0.000 0.000 0.000
```

***

13.
USeF3: optimized geometry, PBE.

Summary:
The density of states at the Fermi level is 0.826 states/eV/f.u. The calculation puts the total energy at -6.81 eV/atom. Its calculated volume is 214 Å³/cell. The value obtained for the total magnetization is 0.200 μB/atom. The formation energy without anion corrections is -2729 meV/atom.

The structure in CIF format:
```
data_USeF3
_chemical_formula_sum 'U2 Se2 F6'
_space_group_name_H-M_alt 'P 1'
_space_group_IT_number 1
_cell_length_a 5.426
_cell_length_b 5.931
_cell_length_c 6.803
_cell_angle_alpha 101.08
_cell_angle_beta 92.92
_cell_angle_gamma 92.32
loop_
_space_group_symop_operation_xyz
'x,y,z'
loop_
_atom_site_label
_atom_site_type_symbol
_atom_site_fract_x
_atom_site_fract_y
_atom_site_fract_z
U1 U 0.000 0.000 0.000
U2 U 0.191 0.539 0.432
Se1 Se 0.388 0.300 0.079
Se2 Se 0.672 0.666 0.466
F1 F 0.154 0.801 0.226
F2 F 0.177 0.778 0.741
F3 F 0.260 0.291 0.590
F4 F 0.702 0.779 0.975
F5 F 0.850 0.191 0.811
F6 F 0.913 0.231 0.275
```